Tl4InPb3: optimized geometry, PBE.

Cell: 7.0716 9.7830 7.0579 Å, 90.00 90.00 90.00°
Atoms (fractional coordinates):
Pb  0.0000  0.8150  0.9997
Tl  0.0000  0.3137  0.4994
In  0.5000  0.3152  0.4997
Tl  0.5000  0.8137  0.5006
Tl  0.0000  0.3136  0.0002
Pb  0.7493  0.0647  0.7433
Tl  0.7492  0.0641  0.2501
In  0.0000  0.8152  0.5003
Pb  0.2493  0.5647  0.2567
Tl  0.5000  0.8136  0.9998
Tl  0.7508  0.5641  0.7499
Pb  0.2507  0.0647  0.7433
Tl  0.2492  0.5641  0.7499
Pb  0.5000  0.3150  0.0003
Tl  0.2508  0.0641  0.2501
Pb  0.7507  0.5647  0.2567

Calculated values
formation enthalpy at 0 K: 3 meV/atom
total DFT energy (no corrections): -0.1070 Ha/atom
space-group type: Pmn2_1, No. 31
DOS at the Fermi energy: 0.311 states/eV/atom